No. 1
DFT (PBEsol) results for a geometry-optimized ScZnRh structure.

Calculated values
The density of states at the Fermi level comes out at 1.028 states/eV/cell. The value obtained for the formation enthalpy at 0 K is 32 meV per atom. The total energy comes out at -5.4102 eV per atom. The space-group type is F-43m, No. 216.

a = 4.2847 Å, b = 4.2847 Å, c = 4.2847 Å
α = 60.00°, β = 60.00°, γ = 60.00°
With the nearest neighbours (Å) after each atom.
Fractional coordinates of all 3 atoms:
Rh: 0.5000 0.5000 0.5000  4 Sc 2.62
Sc: 0.2500 0.2500 0.2500  4 Rh 2.62, 4 Zn 2.62
Zn: 0.0000 0.0000 0.0000  4 Sc 2.62



No. 2
DFT (PBEsol) results for a geometry-optimized ScZn2Rh structure.

Calculated values
The density of states at the Fermi level comes out at 1.403 states/eV/cell. The value obtained for the formation enthalpy at 0 K is -576 meV per atom. The total energy comes out at -5.0530 eV per atom. The space-group type is I4/mmm, No. 139.

a = 3.8504 Å, b = 3.8504 Å, c = 4.8342 Å
α = 113.47°, β = 113.47°, γ = 90.00°
With the nearest neighbours (Å) after each atom.
Fractional coordinates of all 4 atoms:
Sc: 0.5000 0.5000 0.0000  4 Rh 2.72, 8 Zn 2.77
Zn: 0.2500 0.7500 0.5000  4 Zn 2.72, 4 Sc 2.77, 4 Rh 2.77
Zn: 0.7500 0.2500 0.5000  4 Zn 2.72, 4 Sc 2.77, 4 Rh 2.77
Rh: 0.0000 0.0000 0.0000  4 Sc 2.72, 8 Zn 2.77



No. 3
DFT (PBEsol) results for a geometry-optimized ZrSc2Rh structure.

Calculated values
The density of states at the Fermi level comes out at 4.369 states/eV/cell. The value obtained for the formation enthalpy at 0 K is -461 meV per atom. The total energy comes out at -8.0705 eV per atom. The space-group type is P4/mmm, No. 123. The distance to the lowest polymorph of the same formula is 5 meV per atom.

a = 3.1967 Å, b = 3.1967 Å, c = 7.5557 Å
α = 90.00°, β = 90.00°, γ = 90.00°
With the nearest neighbours (Å) after each atom.
Fractional coordinates of all 4 atoms:
Sc: 0.0000 0.0000 0.7080  4 Rh 2.75
Sc: 0.0000 0.0000 0.2920  4 Rh 2.75
Rh: 0.5000 0.5000 0.5000  8 Sc 2.75
Zr: 0.5000 0.5000 0.0000  8 Sc 3.16, 4 Zr 3.20